1.
Below is Tm2Sc8Tl after structural relaxation, with properties calculated at the PBE level.

abc: 5.0329 6.3508 9.1157
angles: 93.74 106.02 90.00
Closest atoms and distances in Å follow each position.
Atoms (fractional coordinates):
Sc 0.9632 0.2645 0.9264  2 Tl 3.12, 9 Sc 3.18-3.48, 1 Tm 3.33
Sc 0.3390 0.0938 0.6779  1 Tl 2.92, 4 Sc 3.01-3.27, 2 Tm 3.18
Sc 0.0368 0.7355 0.0736  2 Tl 3.12, 9 Sc 3.18-3.48, 1 Tm 3.33
Sc 0.5891 0.4296 0.1783  1 Tl 3.05, 6 Sc 3.20-3.35, 1 Tm 3.38
Sc 0.1560 0.1649 0.3120  6 Sc 3.01-3.32, 1 Tm 3.32
Sc 0.6610 0.9062 0.3221  1 Tl 2.92, 4 Sc 3.01-3.27, 2 Tm 3.18
Sc 0.4109 0.5704 0.8217  1 Tl 3.05, 6 Sc 3.20-3.35, 1 Tm 3.38
Sc 0.8440 0.8351 0.6880  6 Sc 3.01-3.32, 1 Tm 3.32
Tm 0.2236 0.6652 0.4473  9 Sc 3.18-3.46, 2 Tm 3.44
Tm 0.7764 0.3348 0.5527  9 Sc 3.18-3.46, 2 Tm 3.44
Tl 0.5000 0.0000 0.0000  8 Sc 2.92-3.12

Calculated values
VASP energy = -5.640 eV per atom
total magnetic moment = 0.41 μB per formula unit

***

2.
Below is Tm3Sc6Tl after structural relaxation, with properties calculated at the PBE level.

abc: 5.6626 10.3667 10.3667
angles: 119.94 90.00 90.00
Closest atoms and distances in Å follow each position.
Atoms (fractional coordinates):
Sc 0.4660 0.9491 0.0509  1 Tl 2.97, 2 Tm 3.26
Sc 0.8463 0.9499 0.5171  5 Sc 2.96-3.22, 2 Tl 3.04-3.18, 1 Tm 3.09
Sc 0.0250 0.7113 0.6090  5 Sc 3.22-3.54, 5 Tm 3.28-3.56
Sc 0.6439 0.2698 0.7302  2 Tl 2.93-3.14, 4 Sc 2.96-3.14, 1 Tm 3.17
Sc 0.3463 0.5171 0.9499  5 Sc 2.96-3.22, 2 Tl 3.04-3.18, 1 Tm 3.09
Sc 0.1439 0.7302 0.2698  2 Tl 2.93-3.14, 4 Sc 2.96-3.14, 1 Tm 3.17
Sc 0.3463 0.0501 0.4829  5 Sc 2.96-3.22, 2 Tl 3.04-3.18, 1 Tm 3.09
Sc 0.5250 0.6090 0.7113  5 Sc 3.22-3.54, 5 Tm 3.28-3.56
Sc 0.0250 0.3910 0.2887  5 Sc 3.22-3.54, 5 Tm 3.28-3.56
Sc 0.9660 0.0509 0.9491  1 Tl 2.97, 2 Tm 3.26
Sc 0.8463 0.4829 0.0501  5 Sc 2.96-3.22, 2 Tl 3.04-3.18, 1 Tm 3.09
Sc 0.5250 0.2887 0.3910  5 Sc 3.22-3.54, 5 Tm 3.28-3.56
Tm 0.0495 0.3913 0.6087  7 Sc 3.17-3.53, 1 Tl 3.30, 2 Tm 3.50
Tm 0.4798 0.9380 0.7316  6 Sc 3.09-3.40, 1 Tl 3.26, 1 Tm 3.43
Tm 0.4798 0.2684 0.0620  6 Sc 3.09-3.40, 1 Tl 3.26, 1 Tm 3.43
Tm 0.9798 0.0620 0.2684  6 Sc 3.09-3.40, 1 Tl 3.26, 1 Tm 3.43
Tm 0.9798 0.7316 0.9380  6 Sc 3.09-3.40, 1 Tl 3.26, 1 Tm 3.43
Tm 0.5495 0.6087 0.3913  7 Sc 3.17-3.53, 1 Tl 3.30, 2 Tm 3.50
Tl 0.6236 0.7910 0.2090  7 Sc 2.93-3.18, 2 Tm 3.26
Tl 0.1236 0.2090 0.7910  7 Sc 2.93-3.18, 2 Tm 3.26

Calculated values
VASP energy = -5.337 eV per atom
total magnetic moment = 0.00 μB per formula unit

***

3.
Below is Tm6ScTl2 after structural relaxation, with properties calculated at the PBE level.

abc: 3.6485 6.4912 11.5705
angles: 74.40 80.93 73.68
Closest atoms and distances in Å follow each position.
Atoms (fractional coordinates):
Sc 0.0000 0.0000 0.0000  4 Tl 3.00
Tl 0.3601 0.0876 0.1922  2 Sc 3.00, 6 Tm 3.23-3.33
Tl 0.6399 0.9124 0.8078  2 Sc 3.00, 6 Tm 3.23-3.33
Tm 0.9817 0.6913 0.3452  2 Tl 3.23, 7 Tm 3.44-3.49
Tm 0.3246 0.4720 0.8789  2 Tl 3.23, 5 Tm 3.40-3.49, 2 Sc 3.46
Tm 0.0183 0.3087 0.6548  2 Tl 3.23, 7 Tm 3.44-3.49
Tm 0.3108 0.7906 0.5878  2 Tl 3.33, 10 Tm 3.42-3.65
Tm 0.6892 0.2094 0.4122  2 Tl 3.33, 10 Tm 3.42-3.65
Tm 0.6754 0.5280 0.1211  2 Tl 3.23, 5 Tm 3.40-3.49, 2 Sc 3.46

Calculated values
VASP energy = -4.354 eV per atom
total magnetic moment = 0.00 μB per formula unit

***

4.
Below is Tm4ScTl after structural relaxation, with properties calculated at the PBE level.

abc: 6.2937 8.8457 8.0529
angles: 112.83 99.45 114.37
Closest atoms and distances in Å follow each position.
Atoms (fractional coordinates):
Tm 0.7510 0.7123 0.6162  2 Tl 3.15-3.16, 5 Tm 3.22-3.52, 1 Sc 3.42
Tm 0.0525 0.1691 0.7544  4 Tm 3.26-3.62, 2 Tl 3.27-3.31, 2 Sc 3.34-3.41
Tm 0.9475 0.8309 0.2456  4 Tm 3.26-3.62, 2 Tl 3.27-3.31, 2 Sc 3.34-3.41
Tm 0.2490 0.2877 0.3838  2 Tl 3.15-3.16, 5 Tm 3.22-3.52, 1 Sc 3.42
Tm 0.6347 0.0960 0.3838  2 Tl 3.15-3.16, 5 Tm 3.22-3.52, 1 Sc 3.42
Tm 0.3653 0.9040 0.6162  2 Tl 3.15-3.16, 5 Tm 3.22-3.52, 1 Sc 3.42
Tm 0.2019 0.5853 0.7544  4 Tm 3.26-3.62, 2 Tl 3.27-3.31, 2 Sc 3.34-3.41
Tm 0.7981 0.4147 0.2456  4 Tm 3.26-3.62, 2 Tl 3.27-3.31, 2 Sc 3.34-3.41
Sc 0.6570 0.4070 0.8139  8 Tm 3.34-3.54
Sc 0.3430 0.5930 0.1861  8 Tm 3.34-3.54
Tl 0.2499 0.9999 0.9999  2 Tl 3.15, 8 Tm 3.15-3.31
Tl 0.7501 0.0001 0.0001  2 Tl 3.15, 8 Tm 3.15-3.31

Calculated values
offset from the most stable computed form = 0.655 eV/f.u.
VASP energy = -4.407 eV per atom
total magnetic moment = 0.00 μB per formula unit

***

5.
Below is TmSc2Tl2 after structural relaxation, with properties calculated at the PBE level.

abc: 3.5491 5.1506 14.1355
angles: 89.99 90.00 90.00
Closest atoms and distances in Å follow each position.
Atoms (fractional coordinates):
Sc 0.2500 0.2502 0.5325  4 Tl 3.07-3.14, 4 Sc 3.26, 2 Tm 3.42
Sc 0.7500 0.7498 0.4675  4 Tl 3.07-3.14, 4 Sc 3.26, 2 Tm 3.42
Sc 0.7500 0.2497 0.1431  5 Tl 2.92-3.18
Sc 0.2500 0.7503 0.8569  5 Tl 2.92-3.18
Tl 0.7500 0.7498 0.0439  4 Sc 2.93-3.18
Tl 0.2500 0.7506 0.6505  5 Sc 2.92-3.14
Tl 0.7500 0.2494 0.3495  5 Sc 2.92-3.14
Tl 0.2500 0.2502 0.9561  4 Sc 2.93-3.18
Tm 0.2500 0.7494 0.2607  6 Tl 3.37-3.54, 6 Sc 3.42-3.54, 2 Tm 3.55
Tm 0.7500 0.2506 0.7393  6 Tl 3.37-3.54, 6 Sc 3.42-3.54, 2 Tm 3.55

Calculated values
offset from the most stable computed form = 0.548 eV/f.u.
VASP energy = -4.497 eV per atom
total magnetic moment = 0.91 μB per formula unit

***

6.
Below is Tm4ScTl after structural relaxation, with properties calculated at the PBE level.

abc: 3.5103 3.5103 13.6828
angles: 90.00 90.00 90.00
Closest atoms and distances in Å follow each position.
Atoms (fractional coordinates):
Tl 0.5000 0.5000 0.5000  8 Tm 3.27, 4 Tl 3.51
Tm 0.5000 0.5000 0.8342  4 Sc 3.36, 8 Tm 3.48-3.51
Tm 0.0000 0.0000 0.6561  4 Tl 3.27, 8 Tm 3.48-3.51
Tm 0.0000 0.0000 0.3439  4 Tl 3.27, 8 Tm 3.48-3.51
Tm 0.5000 0.5000 0.1658  4 Sc 3.36, 8 Tm 3.48-3.51
Sc 0.0000 0.0000 0.0000  8 Tm 3.36, 4 Sc 3.51

Calculated values
offset from the most stable computed form = 0.000 eV/f.u.
VASP energy = -4.516 eV per atom
total magnetic moment = 0.00 μB per formula unit

***

7.
Below is Tm6Sc3Tl after structural relaxation, with properties calculated at the PBE level.

abc: 4.8301 10.5921 10.8124
angles: 91.33 90.00 90.00
Closest atoms and distances in Å follow each position.
Atoms (fractional coordinates):
Sc 0.7500 0.2507 0.9913  10 Tm 3.32-3.50, 2 Sc 3.38
Sc 0.2500 0.7493 0.0087  10 Tm 3.32-3.50, 2 Sc 3.38
Sc 0.2500 0.3486 0.7973  8 Tm 3.36-3.43, 4 Sc 3.38-3.41
Sc 0.7500 0.6514 0.2027  8 Tm 3.36-3.43, 4 Sc 3.38-3.41
Sc 0.2500 0.5491 0.3989  8 Tm 3.34-3.40, 4 Sc 3.41-3.43
Sc 0.7500 0.4509 0.6011  8 Tm 3.34-3.40, 4 Sc 3.41-3.43
Tm 0.7500 0.3528 0.3011  1 Tl 3.32, 5 Sc 3.34-3.50, 6 Tm 3.39-3.43
Tm 0.2500 0.0495 0.8976  1 Tl 3.29, 7 Tm 3.34-3.46, 4 Sc 3.36-3.43
Tm 0.2500 0.2473 0.4995  3 Tl 3.35-3.44, 4 Sc 3.37-3.40, 5 Tm 3.38-3.45
Tm 0.2500 0.8531 0.3068  3 Tl 3.34-3.38, 4 Sc 3.38-3.40, 5 Tm 3.38-3.47
Tm 0.7500 0.9505 0.1024  1 Tl 3.29, 7 Tm 3.34-3.46, 4 Sc 3.36-3.43
Tm 0.7500 0.1469 0.6932  3 Tl 3.34-3.38, 4 Sc 3.38-3.40, 5 Tm 3.38-3.47
Tm 0.7500 0.8438 0.8093  8 Tm 3.30-3.47, 2 Sc 3.40, 2 Tl 3.43
Tm 0.2500 0.1562 0.1907  8 Tm 3.30-3.47, 2 Sc 3.40, 2 Tl 3.43
Tm 0.7500 0.7527 0.5005  3 Tl 3.35-3.44, 4 Sc 3.37-3.40, 5 Tm 3.38-3.45
Tm 0.2500 0.4522 0.1006  5 Tm 3.30-3.43, 7 Sc 3.32-3.43
Tm 0.7500 0.5478 0.8994  5 Tm 3.30-3.43, 7 Sc 3.32-3.43
Tm 0.2500 0.6472 0.6989  1 Tl 3.32, 5 Sc 3.34-3.50, 6 Tm 3.39-3.43
Tl 0.2500 0.9445 0.6084  10 Tm 3.29-3.44, 2 Tl 3.58
Tl 0.7500 0.0555 0.3916  10 Tm 3.29-3.44, 2 Tl 3.58

Calculated values
offset from the most stable computed form = 0.000 eV/f.u.
VASP energy = -4.837 eV per atom
total magnetic moment = 0.00 μB per formula unit

***

8.
Below is TmSc4Tl after structural relaxation, with properties calculated at the PBE level.

abc: 4.9367 6.0690 6.4516
angles: 61.34 67.51 66.00
Closest atoms and distances in Å follow each position.
Atoms (fractional coordinates):
Sc 0.3466 0.9955 0.3114  2 Tl 3.08, 6 Sc 3.15-3.38, 1 Tm 3.39
Sc 0.6960 0.4459 0.1622  1 Tl 2.98, 4 Sc 3.05-3.29, 2 Tm 3.27
Sc 0.3040 0.5541 0.8378  1 Tl 2.98, 4 Sc 3.05-3.29, 2 Tm 3.27
Sc 0.6534 0.0045 0.6886  2 Tl 3.08, 6 Sc 3.15-3.38, 1 Tm 3.39
Tl 0.0000 0.0000 0.0000  6 Sc 2.98-3.08, 2 Tm 3.20
Tm 0.0000 0.5000 0.5000  2 Tl 3.20, 10 Sc 3.27-3.54

Calculated values
offset from the most stable computed form = 0.000 eV/f.u.
VASP energy = -5.442 eV per atom
total magnetic moment = 0.00 μB per formula unit

***

9.
Below is Tm12Sc5Tl2 after structural relaxation, with properties calculated at the PBE level.

abc: 9.0374 8.6729 8.0712
angles: 90.51 90.00 121.40
Closest atoms and distances in Å follow each position.
Atoms (fractional coordinates):
Tm 0.9074 0.8149 0.1151  3 Sc 3.27-3.38, 2 Tl 3.29, 5 Tm 3.33-3.43
Tm 0.9693 0.3093 0.2387  1 Tl 3.20, 5 Tm 3.28-3.51, 5 Sc 3.45-3.57
Tm 0.5762 0.7510 0.3494  5 Tm 3.22-3.51, 4 Sc 3.23-3.50, 1 Tl 3.39
Tm 0.3400 0.3093 0.2387  1 Tl 3.20, 5 Tm 3.28-3.51, 5 Sc 3.45-3.57
Tm 0.5543 0.1087 0.3225  2 Sc 3.18-3.26, 2 Tl 3.19, 7 Tm 3.22-3.37
Tm 0.4238 0.2490 0.6506  5 Tm 3.22-3.51, 4 Sc 3.23-3.50, 1 Tl 3.39
Tm 0.6600 0.6907 0.7613  1 Tl 3.20, 5 Tm 3.28-3.51, 5 Sc 3.45-3.57
Tm 0.1748 0.7510 0.3494  5 Tm 3.22-3.51, 4 Sc 3.23-3.50, 1 Tl 3.39
Tm 0.4457 0.8913 0.6775  2 Sc 3.18-3.26, 2 Tl 3.19, 7 Tm 3.22-3.37
Tm 0.8252 0.2490 0.6506  5 Tm 3.22-3.51, 4 Sc 3.23-3.50, 1 Tl 3.39
Tm 0.0307 0.6907 0.7613  1 Tl 3.20, 5 Tm 3.28-3.51, 5 Sc 3.45-3.57
Tm 0.0926 0.1851 0.8849  3 Sc 3.27-3.38, 2 Tl 3.29, 5 Tm 3.33-3.43
Sc 0.0000 0.0000 0.5000  10 Tm 3.38-3.55, 2 Sc 3.56
Sc 0.6873 0.3746 0.0039  2 Tl 3.24, 8 Tm 3.26-3.50, 1 Sc 3.52
Sc 0.3127 0.6254 0.9961  2 Tl 3.24, 8 Tm 3.26-3.50, 1 Sc 3.52
Sc 0.2370 0.4739 0.5818  8 Tm 3.18-3.45, 1 Sc 3.52
Sc 0.7630 0.5261 0.4182  8 Tm 3.18-3.45, 1 Sc 3.52
Tl 0.6855 0.0000 0.0000  8 Tm 3.19-3.39, 2 Sc 3.24, 1 Tl 3.35
Tl 0.3145 0.0000 0.0000  8 Tm 3.19-3.39, 2 Sc 3.24, 1 Tl 3.35

Calculated values
VASP energy = -4.689 eV per atom
total magnetic moment = 0.00 μB per formula unit

***

10.
Below is Tm4Sc5Tl after structural relaxation, with properties calculated at the PBE level.

abc: 5.4921 7.6275 7.6275
angles: 82.55 68.90 68.90
Closest atoms and distances in Å follow each position.
Atoms (fractional coordinates):
Sc 0.7711 0.0000 0.3696  1 Tl 2.93, 1 Sc 3.04, 2 Tm 3.17
Sc 0.1407 0.6304 0.0000  1 Tl 2.93, 1 Sc 3.04, 2 Tm 3.17
Sc 0.1407 0.0000 0.6304  1 Tl 2.93, 1 Sc 3.04, 2 Tm 3.17
Sc 0.7711 0.3696 0.0000  1 Tl 2.93, 1 Sc 3.04, 2 Tm 3.17
Sc 0.6766 0.0000 0.0000  2 Tl 2.66-2.83
Tm 0.1386 0.3159 0.3159  3 Sc 3.17-3.41, 1 Tl 3.49
Tm 0.7704 0.6841 0.6841  3 Sc 3.17-3.41, 1 Tl 3.49
Tm 0.4545 0.3159 0.6841  3 Sc 3.17-3.41, 1 Tl 3.49
Tm 0.4545 0.6841 0.3159  3 Sc 3.17-3.41, 1 Tl 3.49
Tl 0.1921 0.0000 0.0000  6 Sc 2.66-2.93

Calculated values
VASP energy = -5.071 eV per atom
total magnetic moment = 0.00 μB per formula unit

***

11.
Below is TmSc4Tl after structural relaxation, with properties calculated at the PBE level.

abc: 5.6960 5.6960 11.0487
angles: 104.14 104.14 59.96
Closest atoms and distances in Å follow each position.
Atoms (fractional coordinates):
Tl 0.0800 0.9200 0.2500  10 Sc 3.19-3.33, 2 Tm 3.29
Tl 0.9200 0.0800 0.7500  10 Sc 3.19-3.33, 2 Tm 3.29
Sc 0.3302 0.8335 0.0039  2 Tl 3.19-3.28, 7 Sc 3.25-3.34, 3 Tm 3.26-3.31
Sc 0.4243 0.2497 0.2494  7 Sc 3.21-3.33, 3 Tl 3.23-3.33, 2 Tm 3.26-3.27
Sc 0.7503 0.5757 0.2506  7 Sc 3.21-3.33, 3 Tl 3.23-3.33, 2 Tm 3.26-3.27
Sc 0.8335 0.3302 0.5039  2 Tl 3.19-3.28, 7 Sc 3.25-3.34, 3 Tm 3.26-3.31
Sc 0.2497 0.4243 0.7494  7 Sc 3.21-3.33, 3 Tl 3.23-3.33, 2 Tm 3.26-3.27
Sc 0.1665 0.6698 0.4961  2 Tl 3.19-3.28, 7 Sc 3.25-3.34, 3 Tm 3.26-3.31
Sc 0.6698 0.1665 0.9961  2 Tl 3.19-3.28, 7 Sc 3.25-3.34, 3 Tm 3.26-3.31
Sc 0.5757 0.7503 0.7506  7 Sc 3.21-3.33, 3 Tl 3.23-3.33, 2 Tm 3.26-3.27
Tm 0.5000 0.0000 0.5000  10 Sc 3.26-3.31, 2 Tl 3.29
Tm 0.0000 0.5000 0.0000  10 Sc 3.26-3.31, 2 Tl 3.29

Calculated values
offset from the most stable computed form = 0.223 eV/f.u.
VASP energy = -5.405 eV per atom
total magnetic moment = 0.51 μB per formula unit

***

12.
Below is TmSc2Tl2 after structural relaxation, with properties calculated at the PBE level.

abc: 3.6501 5.1521 13.3675
angles: 90.00 97.85 90.00
Closest atoms and distances in Å follow each position.
Atoms (fractional coordinates):
Tl 0.5464 0.2500 0.0925  6 Sc 3.16, 2 Tm 3.29
Tl 0.6492 0.7500 0.2987  4 Sc 3.05-3.18, 4 Tm 3.16
Tl 0.4536 0.7500 0.9075  6 Sc 3.16, 2 Tm 3.29
Tl 0.3508 0.2500 0.7013  4 Sc 3.05-3.18, 4 Tm 3.16
Sc 0.7586 0.2500 0.5170  2 Tl 3.05, 4 Sc 3.19, 1 Tm 3.41
Sc 0.9492 0.2500 0.8981  8 Tl 3.16-3.18
Sc 0.0508 0.7500 0.1019  8 Tl 3.16-3.18
Sc 0.2414 0.7500 0.4830  2 Tl 3.05, 4 Sc 3.19, 1 Tm 3.41
Tm 0.8508 0.7500 0.7007  6 Tl 3.16-3.29, 2 Sc 3.41
Tm 0.1492 0.2500 0.2993  6 Tl 3.16-3.29, 2 Sc 3.41

Calculated values
offset from the most stable computed form = 0.000 eV/f.u.
VASP energy = -4.606 eV per atom
total magnetic moment = 0.00 μB per formula unit

***

| no. | ΔH_f (0 K) (eV/atom) | density (g cm⁻³) | DOS(E_F) (states/eV per cell) |
| --- | --- | --- | --- |
| 1 | -0.0075 | 5.360 | 18.71 |
| 2 | 0.0399 | 6.178 | 30.18 |
| 3 | -0.1433 | 9.657 | 9.74 |
| 4 | 0.0240 | 8.849 | 15.46 |
| 5 | -0.1234 | 8.581 | 9.92 |
| 6 | -0.0852 | 9.111 | 6.61 |
| 7 | -0.0184 | 8.124 | 29.20 |
| 8 | -0.0816 | 6.097 | 6.72 |
| 9 | 0.0500 | 8.183 | 28.44 |
| 10 | 0.1202 | 6.597 | 14.81 |
| 11 | -0.0444 | 6.171 | 21.52 |
| 12 | -0.2329 | 8.903 | 10.58 |